# 1
# meta-GGA SCAN InTeRu2, single point on PBEsol structure
data_InTeRu2
_symmetry_space_group_name_H-M 'R 3 m'
_symmetry_Int_Tables_number 160
_symmetry_space_group_name_Hall 'R 3 -2"'
_cell_length_a 2.9710
_cell_length_b 2.9710
_cell_length_c 29.9184
_cell_angle_alpha 90.00
_cell_angle_beta 90.00
_cell_angle_gamma 120.00
loop_
_atom_site_label
_atom_site_type_symbol
_atom_site_fract_x
_atom_site_fract_y
_atom_site_fract_z
In1 In 0.0000 0.0000 0.0000
Te1 Te 0.0000 0.0000 0.2135
Ru1 Ru 0.0000 0.0000 0.4760
Ru2 Ru 0.0000 0.0000 0.7433
# Distance to the lowest polymorph of the same formula in kJ/mol of formula units: 80
# Formation energy (no corrections) in meV/atom: 443

***

# 2
# meta-GGA SCAN Sb2HPtI, single point on PBEsol structure
data_Sb2HPtI
_symmetry_space_group_name_H-M 'P 4/m m m'
_symmetry_Int_Tables_number 123
_symmetry_space_group_name_Hall '-P 4 2'
_cell_length_a 4.324
_cell_length_b 4.324
_cell_length_c 5.223
_cell_angle_alpha 90.00
_cell_angle_beta 90.00
_cell_angle_gamma 90.00
loop_
_atom_site_label
_atom_site_type_symbol
_atom_site_fract_x
_atom_site_fract_y
_atom_site_fract_z
Sb1 Sb 0.000 0.500 0.000
H1 H 0.000 0.000 0.000
Pt1 Pt 0.500 0.500 0.500
I1 I 0.000 0.000 0.500
# Energy in eV per atom: -36.18

***

# 3
# meta-GGA SCAN In2FeMo, single point on PBEsol structure
data_In2FeMo
_symmetry_space_group_name_H-M 'P 1 m 1'
_symmetry_Int_Tables_number 6
_cell_length_a 3.026
_cell_length_b 4.143
_cell_length_c 5.588
_cell_angle_alpha 90.00
_cell_angle_beta 103.70
_cell_angle_gamma 90.00
loop_
_symmetry_equiv_pos_as_xyz
'x,y,z'
'x,-y,z'
loop_
_atom_site_label
_atom_site_type_symbol
_atom_site_fract_x
_atom_site_fract_y
_atom_site_fract_z
In1 In 0.000 0.000 0.000
In2 In 0.331 0.500 0.690
Fe1 Fe 0.774 0.000 0.445
Mo1 Mo 0.595 0.500 0.245
# Distance to the lowest polymorph of the same formula in kJ/mol of formula units: 56
# E_form in eV per atom: 0.502

***

# 4
# meta-GGA SCAN SrAl12O19, single point on PBEsol structure
data_SrAl12O19
_symmetry_space_group_name_H-M 'P 63/m m c'
_symmetry_Int_Tables_number 194
_symmetry_space_group_name_Hall '-P 6c 2c'
_cell_length_a 5.5878
_cell_length_b 5.5878
_cell_length_c 21.9132
_cell_angle_alpha 90.00
_cell_angle_beta 90.00
_cell_angle_gamma 120.00
loop_
_atom_site_label
_atom_site_type_symbol
_atom_site_fract_x
_atom_site_fract_y
_atom_site_fract_z
Sr1 Sr 0.3333 0.6667 0.2500
Al1 Al 0.0000 0.0000 0.0000
Al2 Al 0.0000 0.0000 0.2500
Al3 Al 0.1681 0.3363 0.1090
Al4 Al 0.3333 0.6667 0.5288
Al5 Al 0.3333 0.6667 0.6906
O1 O 0.0000 0.0000 0.1504
O2 O 0.0049 0.5024 0.1485
O3 O 0.1545 0.3089 0.5522
O4 O 0.1821 0.3643 0.7500
O5 O 0.3333 0.6667 0.0542
# Formation energy (no corrections) in meV/atom: -3379

***

# 5
# meta-GGA SCAN NiAsRu, single point on PBEsol structure
data_NiAsRu
_symmetry_space_group_name_H-M 'F -4 3 m'
_symmetry_Int_Tables_number 216
_symmetry_space_group_name_Hall 'F -4 2 3'
_cell_length_a 5.530
_cell_length_b 5.530
_cell_length_c 5.530
_cell_angle_alpha 90.00
_cell_angle_beta 90.00
_cell_angle_gamma 90.00
loop_
_atom_site_label
_atom_site_type_symbol
_atom_site_fract_x
_atom_site_fract_y
_atom_site_fract_z
Ni1 Ni 0.000 0.000 0.000
As1 As 0.250 0.250 0.250
Ru1 Ru 0.000 0.000 0.500
# Distance to the lowest polymorph of the same formula in kJ/mol of formula units: 0
# E_form in eV per atom: -0.248

***

# 6
# meta-GGA SCAN Y2MgNi2, single point on PBEsol structure
data_Y2MgNi2
_symmetry_space_group_name_H-M 'I 4/m m m'
_symmetry_Int_Tables_number 139
_symmetry_space_group_name_Hall '-I 4 2'
_cell_length_a 3.412
_cell_length_b 3.412
_cell_length_c 18.321
_cell_angle_alpha 90.00
_cell_angle_beta 90.00
_cell_angle_gamma 90.00
loop_
_atom_site_label
_atom_site_type_symbol
_atom_site_fract_x
_atom_site_fract_y
_atom_site_fract_z
Y1 Y 0.000 0.000 0.134
Mg1 Mg 0.000 0.000 0.500
Ni1 Ni 0.000 0.500 0.250
# E_form in eV per atom: -0.050

***

# 7
# meta-GGA SCAN Zr2Al2Ag, single point on PBEsol structure
data_Zr2Al2Ag
_symmetry_space_group_name_H-M 'P 4/m b m'
_symmetry_Int_Tables_number 127
_symmetry_space_group_name_Hall '-P 4 2ab'
_cell_length_a 6.614
_cell_length_b 6.614
_cell_length_c 4.257
_cell_angle_alpha 90.00
_cell_angle_beta 90.00
_cell_angle_gamma 90.00
loop_
_atom_site_label
_atom_site_type_symbol
_atom_site_fract_x
_atom_site_fract_y
_atom_site_fract_z
Zr1 Zr 0.164 0.336 0.000
Al1 Al 0.137 0.637 0.500
Ag1 Ag 0.000 0.000 0.500
# E_form in eV per atom: -0.454

***

# 8
# meta-GGA SCAN Ag2Au, single point on PBEsol structure
data_Ag2Au
_symmetry_space_group_name_H-M 'P -3 m 1'
_symmetry_Int_Tables_number 164
_symmetry_space_group_name_Hall '-P 3 2"'
_cell_length_a 4.5547
_cell_length_b 4.5547
_cell_length_c 2.7935
_cell_angle_alpha 90.00
_cell_angle_beta 90.00
_cell_angle_gamma 120.00
loop_
_atom_site_label
_atom_site_type_symbol
_atom_site_fract_x
_atom_site_fract_y
_atom_site_fract_z
Ag1 Ag 0.3333 0.6667 0.1659
Au1 Au 0.0000 0.0000 0.5000
# Distance to the lowest polymorph of the same formula in kJ/mol of formula units: 9
# E_form in eV per atom: -0.043

***

# 9
# meta-GGA SCAN YZnTe2, single point on PBEsol structure
data_YZnTe2
_symmetry_space_group_name_H-M 'F -4 3 m'
_symmetry_Int_Tables_number 216
_symmetry_space_group_name_Hall 'F -4 2 3'
_cell_length_a 7.401
_cell_length_b 7.401
_cell_length_c 7.401
_cell_angle_alpha 90.00
_cell_angle_beta 90.00
_cell_angle_gamma 90.00
loop_
_atom_site_label
_atom_site_type_symbol
_atom_site_fract_x
_atom_site_fract_y
_atom_site_fract_z
Y1 Y 0.000 0.000 0.000
Zn1 Zn 0.250 0.250 0.750
Te1 Te 0.000 0.000 0.500
Te2 Te 0.250 0.250 0.250
# Distance to the lowest polymorph of the same formula in kJ/mol of formula units: 275
# Formation energy (no corrections) in meV/atom: -299

***

# 10
# meta-GGA SCAN Li2Ca, single point on PBEsol structure
data_Li2Ca
_symmetry_space_group_name_H-M 'C 1 2/m 1'
_symmetry_Int_Tables_number 12
_cell_length_a 11.931
_cell_length_b 3.741
_cell_length_c 7.781
_cell_angle_alpha 90.00
_cell_angle_beta 109.70
_cell_angle_gamma 90.00
loop_
_symmetry_equiv_pos_as_xyz
'x,y,z'
'-x,-y,-z'
'-x,y,-z'
'x,-y,z'
'x+1/2,y+1/2,z'
'-x+1/2,-y+1/2,-z'
'-x+1/2,y+1/2,-z'
'x+1/2,-y+1/2,z'
loop_
_atom_site_label
_atom_site_type_symbol
_atom_site_fract_x
_atom_site_fract_y
_atom_site_fract_z
Li1 Li 0.027 0.000 0.220
Li2 Li 0.153 0.500 0.043
Ca1 Ca 0.159 0.500 0.617
# Distance to the lowest polymorph of the same formula in kJ/mol of formula units: 12
# E_form in eV per atom: 0.024

***

# 11
# meta-GGA SCAN Sr2CdHg, single point on PBEsol structure
data_Sr2CdHg
_symmetry_space_group_name_H-M 'C 1 m 1'
_symmetry_Int_Tables_number 8
_cell_length_a 12.063
_cell_length_b 3.847
_cell_length_c 5.615
_cell_angle_alpha 90.00
_cell_angle_beta 109.08
_cell_angle_gamma 90.00
loop_
_symmetry_equiv_pos_as_xyz
'x,y,z'
'x,-y,z'
'x+1/2,y+1/2,z'
'x+1/2,-y+1/2,z'
loop_
_atom_site_label
_atom_site_type_symbol
_atom_site_fract_x
_atom_site_fract_y
_atom_site_fract_z
Sr1 Sr 0.000 0.000 0.000
Sr2 Sr 0.203 0.000 0.643
Cd1 Cd 0.258 0.500 0.191
Hg1 Hg 0.456 0.000 0.467
# E_form in eV per atom: -0.442

***

# 12
# meta-GGA SCAN Dy2SnAu2, single point on PBEsol structure
data_Dy2SnAu2
_symmetry_space_group_name_H-M 'P 4/m b m'
_symmetry_Int_Tables_number 127
_symmetry_space_group_name_Hall '-P 4 2ab'
_cell_length_a 7.760
_cell_length_b 7.760
_cell_length_c 3.732
_cell_angle_alpha 90.00
_cell_angle_beta 90.00
_cell_angle_gamma 90.00
loop_
_atom_site_label
_atom_site_type_symbol
_atom_site_fract_x
_atom_site_fract_y
_atom_site_fract_z
Dy1 Dy 0.170 0.330 0.000
Sn1 Sn 0.000 0.000 0.500
Au1 Au 0.128 0.628 0.500
# E_form in eV per atom: -1.069